# Ba2CoPtO4

A relaxed structure of Ba2CoPtO4 (PBE+U, Alexandria via LeMat-Bulk).

Computed properties:
Mass density ... 7.38 g/cm3
M_tot ... 3.1 μB/cell
E ... -5.879 eV per atom

abc: 5.5786 5.5786 5.5786
angles: 111.04 111.04 106.39
Sites, in units of the cell vectors:
Ba (0.0000, 0.0000, 0.0000)
Ba (0.7500, 0.2500, 0.5000)
Co (0.5000, 0.5000, 0.0000)
Pt (0.2500, 0.7500, 0.5000)
O (0.1678, 0.1047, 0.6416)
O (0.4631, 0.5262, 0.3584)
O (0.4738, 0.8322, 0.9369)
O (0.8953, 0.5369, 0.0631)